(1)
# Ho4GaSbC

Crystalline Ho4GaSbC at its relaxed geometry (GGA-PBE, Alexandria).

```
Ho4GaSbC
1.0
-3.4699 2.0735 -5.3423
3.3722 -4.3093 -3.8629
-3.6171 -6.4558 4.0441
Ho Ga Sb C
8 2 2 2
Direct
0.9169 0.2500 0.8338 Ho
0.4078 0.7500 0.8157 Ho
0.0831 0.7500 0.1662 Ho
0.5922 0.2500 0.1843 Ho
0.5000 0.5000 0.5000 Ho
0.0000 0.0000 0.5000 Ho
0.5000 0.0000 0.5000 Ho
0.0000 0.5000 0.5000 Ho
0.1161 0.2500 0.2321 Ga
0.8839 0.7500 0.7679 Ga
0.6081 0.7500 0.2162 Sb
0.3919 0.2500 0.7838 Sb
0.2494 0.7500 0.4988 C
0.7506 0.2500 0.5012 C
```

Properties
**Total magnetization**: 0.000 Bohr magnetons per cell
**Fermi-level density of states**: 1.3 states/eV/f.u.
**ΔE_f (raw)**: -642.9 meV/atom
**Uncorrected energy**: -5.598 eV/atom


(2)
# Ho2ScGaC

Crystalline Ho2ScGaC at its relaxed geometry (GGA-PBE, Alexandria).

```
Ho2ScGaC
1.0
-3.8986 -2.1041 -0.7965
1.5480 -1.1945 -4.4216
1.8556 -4.1035 1.7582
Ho Sc Ga C
2 1 1 1
Direct
0.0000 0.0000 0.5000 Ho
0.0000 0.5000 0.0000 Ho
0.5000 0.0000 0.0000 Sc
0.5000 0.5000 0.5000 Ga
0.0000 0.0000 0.0000 C
```

Properties
**Formation energy**: -532 meV per atom
**Total magnetization**: 0.000 Bohr magnetons per cell
**Fermi-level density of states**: 1.0 states/eV/f.u.
**Uncorrected energy**: -6.080 eV/atom


(3)
# Sm2HoGaC

Crystalline Sm2HoGaC at its relaxed geometry (GGA-PBE, Alexandria).

```
Sm2HoGaC
1.0
4.8348 0.0000 0.0000
0.0000 4.9999 0.0000
0.0000 0.0000 4.9999
Sm Ho Ga C
2 1 1 1
Direct
0.0000 0.0000 0.5000 Sm
0.0000 0.5000 0.0000 Sm
0.5000 0.0000 0.0000 Ho
0.5000 0.5000 0.5000 Ga
0.0000 0.0000 0.0000 C
```

Properties
**Formation energy**: -362 meV per atom
**Total magnetization**: 0.000 Bohr magnetons per cell
**Fermi-level density of states**: 2.1 states/eV/f.u.
**Uncorrected energy**: -5.616 eV/atom